Entry 1:
This record from the Alexandria database describes a relaxed structure of LaMg11Ni. The functional is PBE.

Summary:
space group: No. 12
energy relative to the elements: -0.073 eV per atom
spin magnetization: 0.000 μB/atom

Cell: 5.614 7.680 7.769 Å, 82.95 68.82 70.14°
Sites, in units of the cell vectors:
Mg 0.000 0.500 0.000
Mg 0.641 0.363 0.339
Mg 0.020 0.637 0.339
Mg 0.359 0.637 0.661
Mg 0.697 0.776 0.796
Mg 0.303 0.224 0.204
Mg 0.492 0.776 0.204
Mg 0.980 0.363 0.661
Mg 0.000 0.000 0.500
Mg 0.508 0.224 0.796
Mg 0.500 0.000 0.500
Ni 0.500 0.500 0.000
La 0.000 0.000 0.000

---

Entry 2:
This record from the Alexandria database describes a relaxed structure of LaMg6Ni. The functional is PBE.

Summary:
space group: No. 38
energy relative to the elements: 0.008 eV per atom
spin magnetization: 0.000 μB/atom

Cell: 7.188 7.188 4.927 Å, 90.00 90.00 132.07°
Sites, in units of the cell vectors:
Ni 0.885 0.115 0.500
Mg 0.307 0.194 0.500
Mg 0.679 0.834 0.000
Mg 0.166 0.321 0.000
Mg 0.806 0.693 0.500
Mg 0.140 0.860 0.000
Mg 0.717 0.283 0.000
La 0.302 0.698 0.500

---

Entry 3:
This record from the Alexandria database describes a relaxed structure of LaMgNi2. The functional is PBE.

Summary:
space group: No. 123
energy relative to the elements: -0.138 eV per atom
spin magnetization: 0.000 μB/atom

Cell: 4.742 4.741 3.266 Å, 90.00 90.00 90.00°
Sites, in units of the cell vectors:
Ni 0.500 0.500 0.000
Ni 0.000 0.000 0.000
La 0.500 0.000 0.500
Mg 0.000 0.500 0.500

---

Entry 4:
This record from the Alexandria database describes a relaxed structure of La12MgNi6. The functional is PBE.

Summary:
space group: No. 204
energy relative to the elements: -0.248 eV per atom
spin magnetization: 0.000 μB/atom

Cell: 8.890 8.890 8.890 Å, 109.47 109.47 109.47°
Sites, in units of the cell vectors:
Ni 0.625 0.500 0.125
Ni 0.375 0.500 0.875
Ni 0.500 0.125 0.625
Ni 0.875 0.375 0.500
Ni 0.500 0.875 0.375
Ni 0.125 0.625 0.500
La 0.128 0.816 0.312
La 0.872 0.184 0.688
La 0.688 0.504 0.816
La 0.312 0.496 0.184
La 0.312 0.128 0.816
La 0.184 0.312 0.496
La 0.496 0.184 0.312
La 0.688 0.872 0.184
La 0.816 0.688 0.504
La 0.816 0.312 0.128
La 0.184 0.688 0.872
La 0.504 0.816 0.688
Mg 0.000 0.000 0.000